A PBEsol-optimized structure of Bi5IO7. Source: the Alexandria database, functional meta-GGA SCAN.

Values from the calculation:
The energy relative to the elements, uncorrected comes out at -1.0935 eV/atom. For the magnetic moment, the calculation gives 0.0 μB per formula unit. The density comes out at 8648 kg/m³. The energy above the lowest structure with this stoichiometry is 0 meV per atom. The calculation puts the total energy at -37.50 eV/atom.

a b c (Å): 5.300 16.213 22.953
angles (deg): 90.00 90.00 90.00
Space group Ibca (No. 73)
Asymmetric unit:
Bi 0.000 0.250 0.199
Bi 0.024 0.074 0.311
Bi 0.029 0.081 0.559
I 0.000 0.250 0.410
O 0.058 0.063 0.651
O 0.081 0.046 0.449
O 0.239 0.168 0.252
O 0.248 0.000 0.250